Here is a crystal of MnTc2NiS relaxed with PBEsol from Alexandria via LeMat-Bulk. Energies are from meta-GGA SCAN.

- Crystal system: tetragonal
- E: -107.54 eV/cell
- Magnetization: 0.74 μB per atom

Cell: 4.3773 4.3773 4.0084 Å, 90.00 90.00 90.00°
Space group P4/mmm (No. 123)
Inequivalent atoms, fractional coordinates:
Mn 0.0000 0.0000 0.0000
Tc 0.0000 0.5000 0.0000
Ni 0.5000 0.5000 0.5000
S 0.0000 0.0000 0.5000